An optimized crystal structure of LiMn2O4. Source: Alexandria via LeMat-Bulk, functional PBE with a Hubbard U.

Geometry as POSCAR:
```
LiMn2O4
1.0
-5.135 -3.920 -1.512
1.176 -2.233 6.177
-4.363 9.507 3.435
O Mn Li
24 12 6
direct
0.430 0.186 0.456
0.166 0.374 0.815
0.653 0.882 0.304
0.903 0.717 0.926
0.823 0.047 0.795
0.331 0.547 0.317
0.018 0.213 0.335
0.469 0.297 0.163
0.762 0.538 0.438
0.401 0.628 0.042
0.065 0.296 0.041
0.269 0.445 0.570
0.172 0.971 0.199
0.607 0.781 0.575
0.759 0.957 0.083
0.237 0.045 0.927
0.838 0.634 0.201
0.678 0.455 0.708
0.568 0.379 0.922
0.933 0.107 0.577
0.332 0.128 0.683
0.487 0.704 0.801
0.014 0.792 0.710
0.082 0.873 0.426
0.321 0.339 0.991
0.575 0.587 0.248
0.992 0.005 0.000
0.177 0.162 0.506
0.238 0.263 0.247
0.747 0.751 0.752
0.916 0.920 0.255
0.415 0.420 0.749
0.666 0.666 0.001
0.521 0.485 0.504
0.850 0.818 0.505
0.085 0.078 0.750
0.226 0.727 0.867
0.621 0.102 0.624
0.856 0.364 0.878
0.366 0.874 0.357
0.503 0.004 0.141
0.011 0.518 0.363
```

Computed properties:
total DFT energy (no corrections) = -287.50 eV for the cell shown
energy relative to the lowest polymorph listed for this composition = 58 meV per atom